# 1
Crystalline SrSc2Pd2 at its relaxed geometry. Source: the Alexandria database, functional PBE-GGA.

Computed properties:
**Total moment**: 0.00 μB per formula unit
**Crystal system**: tetragonal
**Symmetry**: P4/mbm
**Fermi-level density of states**: 4.9 states/eV per cell
**Formation enthalpy at 0 K**: -520 meV/atom

```
SrSc2Pd2
1.0
-3.528 -3.086 -6.883
-0.326 -7.529 3.543
-2.805 0.659 1.142
Sc Sr Pd
4 2 4
Direct
0.367 0.867 0.000
0.867 0.633 0.000
0.633 0.133 0.000
0.133 0.367 0.000
0.000 0.000 0.000
0.500 0.500 0.000
0.159 0.659 0.500
0.659 0.841 0.500
0.841 0.341 0.500
0.341 0.159 0.500
```


# 2
Crystalline SrSc2Pd2 at its relaxed geometry. Source: the Alexandria database, functional PBE-GGA.

Computed properties:
**Total moment**: 0.00 μB per formula unit
**Crystal system**: tetragonal
**Symmetry**: I4/mmm
**Fermi-level density of states**: 2.9 states/eV per cell
**Formation enthalpy at 0 K**: -642 meV/atom

```
SrSc2Pd2
1.0
-2.659 2.216 -2.849
-2.901 0.794 3.325
0.102 6.624 1.529
Sc Sr Pd
2 1 2
Direct
0.750 0.250 0.500
0.250 0.750 0.500
0.000 0.000 0.000
0.382 0.382 0.235
0.618 0.618 0.765
```


What is the Fermi-level density of states in the second record? 2.9 states/eV per cell


Number 2 is which compound? SrSc2Pd2